A plane-wave DFT calculation with PBE+U was carried out for an optimized crystal structure of NdVO3.

POSCAR file:
```
NdVO3
1.0
3.9234 0.0000 0.0000
0.0000 3.9234 0.0000
0.0000 0.0000 3.9234
Nd V O
1 1 3
direct
0.5000 0.5000 0.5000
0.0000 0.0000 0.0000
0.5000 0.0000 0.0000
0.0000 0.5000 0.0000
0.0000 0.0000 0.5000
```

Values from the calculation:
The calculation puts the density of states at the Fermi level at 0.54 states/eV per atom. The uncorrected energy comes out at -7.9665 eV per atom.